A geometry-optimized PmAlTl structure, computed with GGA-PBE.

Properties
For the spin magnetization, the calculation gives 0.001 μB per atom. The density is 7.63 Mg/m³. Its excess energy over the best structure of this formula in the dataset is 0 meV per atom.

Lattice parameters (Å, degrees): 4.8752 4.8752 4.8752 60.00 60.00 60.00
Last column: nearest neighbours and their distance in Å.
Fractional coordinates of all 3 atoms:
Pm 0.0000 0.0000 0.0000  4 Al 2.99
Al 0.2500 0.2500 0.2500  4 Tl 2.99, 4 Pm 2.99
Tl 0.5000 0.5000 0.5000  4 Al 2.99

***

A geometry-optimized PmAlW structure, computed with GGA-PBE.

Properties
For the spin magnetization, the calculation gives 0.344 μB per atom. The density is 8.39 Mg/m³. Its excess energy over the best structure of this formula in the dataset is 0 meV per atom.

Lattice parameters (Å, degrees): 4.6347 4.6347 4.6347 60.00 60.00 60.00
Last column: nearest neighbours and their distance in Å.
Fractional coordinates of all 3 atoms:
Pm 0.0000 0.0000 0.0000  4 Al 2.84
Al 0.2500 0.2500 0.2500  4 W 2.84, 4 Pm 2.84
W 0.5000 0.5000 0.5000  4 Al 2.84

***

A geometry-optimized PmAlW structure, computed with GGA-PBE.

Properties
For the spin magnetization, the calculation gives 0.752 μB per atom. The density is 7.34 Mg/m³. Its excess energy over the best structure of this formula in the dataset is 759 meV per atom.

Lattice parameters (Å, degrees): 4.8458 4.8458 4.8458 60.00 60.00 60.00
Last column: nearest neighbours and their distance in Å.
Fractional coordinates of all 3 atoms:
Pm 0.0000 0.0000 0.0000  4 W 2.97, 4 Al 2.97
Al 0.7500 0.7500 0.7500  4 Pm 2.97
W 0.2500 0.2500 0.2500  4 Pm 2.97

***

A geometry-optimized Pr3Al2 structure, computed with GGA-PBE.

Properties
For the spin magnetization, the calculation gives 0.003 μB per atom. The density is 4.67 Mg/m³. Its excess energy over the best structure of this formula in the dataset is 329 meV per atom.

Lattice parameters (Å, degrees): 9.5825 9.5825 9.5825 40.81 40.81 40.81
Last column: nearest neighbours and their distance in Å.
Fractional coordinates of all 10 atoms:
Pr 0.0781 0.7500 0.4219  4 Al 3.11-3.13
Pr 0.2500 0.5781 0.9219  4 Al 3.11-3.13
Pr 0.4219 0.0781 0.7500  4 Al 3.11-3.13
Pr 0.5781 0.9219 0.2500  4 Al 3.11-3.13
Pr 0.7500 0.4219 0.0781  4 Al 3.11-3.13
Pr 0.9219 0.2500 0.5781  4 Al 3.11-3.13
Al 0.1648 0.1648 0.1648  6 Pr 3.11-3.13
Al 0.3352 0.3352 0.3352  6 Pr 3.11-3.13
Al 0.6648 0.6648 0.6648  6 Pr 3.11-3.13
Al 0.8352 0.8352 0.8352  6 Pr 3.11-3.13

***

A geometry-optimized Pr3Al2 structure, computed with GGA-PBE.

Properties
For the spin magnetization, the calculation gives 0.005 μB per atom. The density is 5.49 Mg/m³. Its excess energy over the best structure of this formula in the dataset is 0 meV per atom.

Lattice parameters (Å, degrees): 8.6169 8.6169 7.7657 90.00 90.00 90.00
Last column: nearest neighbours and their distance in Å.
Fractional coordinates of all 20 atoms:
Pr 0.0000 0.5000 0.2500  4 Al 3.48, 10 Pr 3.66-3.88
Pr 0.0000 0.5000 0.7500  4 Al 3.48, 10 Pr 3.66-3.88
Pr 0.1492 0.1492 0.0000  6 Al 3.20-3.35
Pr 0.2021 0.2021 0.5000  6 Al 3.20-3.28
Pr 0.2979 0.7021 0.0000  6 Al 3.20-3.28
Pr 0.3508 0.6492 0.5000  6 Al 3.20-3.35
Pr 0.5000 0.0000 0.2500  4 Al 3.48, 10 Pr 3.66-3.88
Pr 0.5000 0.0000 0.7500  4 Al 3.48, 10 Pr 3.66-3.88
Pr 0.6492 0.3508 0.5000  6 Al 3.20-3.35
Pr 0.7021 0.2979 0.0000  6 Al 3.20-3.28
Pr 0.7979 0.7979 0.5000  6 Al 3.20-3.28
Pr 0.8508 0.8508 0.0000  6 Al 3.20-3.35
Al 0.1170 0.8830 0.3124  2 Al 2.85-2.91
Al 0.1170 0.8830 0.6876  2 Al 2.85-2.91
Al 0.3830 0.3830 0.1876  2 Al 2.85-2.91
Al 0.3830 0.3830 0.8124  2 Al 2.85-2.91
Al 0.6170 0.6170 0.1876  2 Al 2.85-2.91
Al 0.6170 0.6170 0.8124  2 Al 2.85-2.91
Al 0.8830 0.1170 0.3124  2 Al 2.85-2.91
Al 0.8830 0.1170 0.6876  2 Al 2.85-2.91

***

A geometry-optimized PrAl5 structure, computed with GGA-PBE.

Properties
For the spin magnetization, the calculation gives 0.000 μB per atom. The density is 3.81 Mg/m³. For the electronic total energy, the calculation gives -4.14 eV per atom.

Lattice parameters (Å, degrees): 5.6523 5.6523 4.3457 90.00 90.00 120.00
Last column: nearest neighbours and their distance in Å.
Fractional coordinates of all 6 atoms:
Pr 0.0000 0.0000 0.0000  18 Al 3.26-3.56
Al 0.0000 0.5000 0.5000  8 Al 2.72-2.83
Al 0.3333 0.6667 0.0000  6 Al 2.72
Al 0.5000 0.0000 0.5000  8 Al 2.72-2.83
Al 0.5000 0.5000 0.5000  8 Al 2.72-2.83
Al 0.6667 0.3333 0.0000  6 Al 2.72

***

A geometry-optimized PrAl2 structure, computed with GGA-PBE.

Properties
For the spin magnetization, the calculation gives 0.010 μB per atom. The density is 4.90 Mg/m³. For the electronic total energy, the calculation gives -4.58 eV per atom.

Lattice parameters (Å, degrees): 5.7179 5.7179 5.7179 60.00 60.00 60.00
Last column: nearest neighbours and their distance in Å.
Fractional coordinates of all 6 atoms:
Pr 0.1250 0.1250 0.1250  12 Al 3.35, 4 Pr 3.50
Pr 0.8750 0.8750 0.8750  12 Al 3.35, 4 Pr 3.50
Al 0.0000 0.5000 0.5000  6 Al 2.86
Al 0.5000 0.0000 0.5000  6 Al 2.86
Al 0.5000 0.5000 0.0000  6 Al 2.86
Al 0.5000 0.5000 0.5000  6 Al 2.86

***

A geometry-optimized PrAl3 structure, computed with GGA-PBE.

Properties
For the spin magnetization, the calculation gives 0.002 μB per atom. The density is 4.27 Mg/m³. For the electronic total energy, the calculation gives -4.45 eV per atom.

Lattice parameters (Å, degrees): 6.5811 4.5915 6.5860 90.00 119.91 90.00
Last column: nearest neighbours and their distance in Å.
Fractional coordinates of all 8 atoms:
Pr 0.1669 0.2500 0.3343  12 Al 3.18-3.31
Pr 0.8331 0.7500 0.6657  12 Al 3.18-3.31
Al 0.2195 0.2500 0.8604  6 Al 2.77-2.80
Al 0.3590 0.7500 0.1407  6 Al 2.77-2.80
Al 0.3602 0.7500 0.7202  6 Al 2.77-2.80
Al 0.6398 0.2500 0.2798  6 Al 2.77-2.80
Al 0.6410 0.2500 0.8593  6 Al 2.77-2.80
Al 0.7805 0.7500 0.1396  6 Al 2.77-2.80

***

Repeat the first record exactly.
A geometry-optimized PmAlTl structure, computed with GGA-PBE.

Properties
For the spin magnetization, the calculation gives 0.001 μB per atom. The density is 7.63 Mg/m³. Its excess energy over the best structure of this formula in the dataset is 0 meV per atom.

Lattice parameters (Å, degrees): 4.8752 4.8752 4.8752 60.00 60.00 60.00
Last column: nearest neighbours and their distance in Å.
Fractional coordinates of all 3 atoms:
Pm 0.0000 0.0000 0.0000  4 Al 2.99
Al 0.2500 0.2500 0.2500  4 Tl 2.99, 4 Pm 2.99
Tl 0.5000 0.5000 0.5000  4 Al 2.99

***

> Look up the density of the first one.

7.63 Mg/m³

***

> Which value of spin magnetization does entry 7 give?

0.010 μB per atom